K2ZrMn after structural relaxation, computed with PBE.

Calculated values
The value obtained for the density of states at the Fermi level is 5.230 states/eV per cell. The value obtained for the energy relative to the elements is 872 meV per atom. The value obtained for the calculated volume is 144 Å³/f.u. Its uncorrected energy is -4.11 eV per atom. The energy relative to the lowest polymorph listed for this composition is 0.306 eV/atom.

a b c (Å): 7.4095 7.4095 7.4095
angles (deg): 153.61 126.89 60.26
Closest atoms and distances in Å follow each position.
Element x y z (fractional)
K 0.0000 0.0000 0.0000  2 K 3.38, 2 Mn 3.58
K 0.7013 0.2013 0.5000  2 K 3.38, 4 Mn 3.76
Zr 0.3931 0.3931 0.0000  2 Mn 2.53
Mn 0.2465 0.7465 0.5000  2 Zr 2.53